Record 1
Below is a relaxed MnAl2Tl crystal, with properties calculated at the PBE-GGA level.

## Properties
- E_form (eV/f.u.) = 1.08
- E above lowest polymorph (meV per atom) = 209
- V (Å³/f.u.) = 74.7

a b c (Å): 4.7935 4.7935 5.5895
angles (deg): 102.64 102.64 36.70
With the nearest neighbours (Å) after each atom.
Atoms (fractional coordinates):
Mn1 0.0000 0.0000 0.0000  5 Al 2.60-2.71
Al1 0.4868 0.4868 0.3853  2 Mn 2.65, 3 Al 2.80-2.88
Al2 0.7361 0.7361 0.1482  3 Mn 2.60-2.71, 3 Al 2.80-2.88
Tl1 0.2517 0.2517 0.6794  3 Mn 2.95-3.22, 7 Al 2.98-3.30, 2 Tl 3.02

---

Record 2
Below is a relaxed MnAl2Tl crystal, with properties calculated at the PBE-GGA level.

## Properties
- E_form (eV/f.u.) = 0.63
- E above lowest polymorph (meV per atom) = 96
- V (Å³/f.u.) = 77.0

a b c (Å): 6.9672 6.9672 6.9672
angles (deg): 156.77 144.64 42.74
With the nearest neighbours (Å) after each atom.
Atoms (fractional coordinates):
Mn1 0.0000 0.0000 0.0000  6 Al 2.51-2.54, 2 Mn 2.81
Al1 0.4982 0.4982 0.0000  4 Mn 2.54, 2 Al 2.81
Al2 0.8398 0.3398 0.5000  2 Mn 2.51, 2 Al 2.81
Tl1 0.1932 0.6932 0.5000  2 Tl 2.81, 2 Mn 2.87

---

Record 3
Below is a relaxed MnAl2Tl crystal, with properties calculated at the PBE-GGA level.

## Properties
- E_form (eV/f.u.) = 0.81
- E above lowest polymorph (meV per atom) = 140
- V (Å³/f.u.) = 72.8

a b c (Å): 9.1606 9.1606 9.1606
angles (deg): 19.22 19.22 19.22
With the nearest neighbours (Å) after each atom.
Atoms (fractional coordinates):
Mn1 0.0000 0.0000 0.0000  6 Al 2.58
Al1 0.2633 0.2633 0.2633  3 Mn 2.58
Al2 0.7367 0.7367 0.7367  3 Mn 2.58
Tl1 0.5000 0.5000 0.5000  6 Tl 3.06, 6 Al 3.15

---

Record 4
Below is a relaxed MnAl2Tl crystal, with properties calculated at the PBE-GGA level.

## Properties
- E_form (eV/f.u.) = 1.34
- E above lowest polymorph (meV per atom) = 272
- V (Å³/f.u.) = 74.2

a b c (Å): 5.7033 5.7033 3.0480
angles (deg): 103.83 103.83 121.11
With the nearest neighbours (Å) after each atom.
Atoms (fractional coordinates):
Mn1 0.0000 0.0000 0.0000  4 Tl 2.80-2.97, 4 Al 2.85, 2 Mn 3.05
Al1 0.0000 0.5000 0.0000  6 Al 2.80-3.05, 2 Tl 2.85, 2 Mn 2.85
Al2 0.5000 0.0000 0.0000  6 Al 2.80-3.05, 2 Tl 2.85, 2 Mn 2.85
Tl1 0.5000 0.5000 0.0000  4 Mn 2.80-2.97, 4 Al 2.85, 2 Tl 3.05

---

Record 5
Below is a relaxed MnAl2Tl crystal, with properties calculated at the PBE-GGA level.

## Properties
- E_form (eV/f.u.) = 2.73
- E above lowest polymorph (meV per atom) = 621
- V (Å³/f.u.) = 67.0

a b c (Å): 4.5598 4.5598 4.5598
angles (deg): 60.00 60.00 60.00
With the nearest neighbours (Å) after each atom.
Atoms (fractional coordinates):
Mn1 0.0000 0.0000 0.0000  8 Al 2.79
Al1 0.2500 0.2500 0.2500  4 Tl 2.79, 4 Mn 2.79
Al2 0.7500 0.7500 0.7500  4 Tl 2.79, 4 Mn 2.79
Tl1 0.5000 0.5000 0.5000  8 Al 2.79

---

Record 6
Below is a relaxed MnAl2Tl crystal, with properties calculated at the PBE-GGA level.

## Properties
- E_form (eV/f.u.) = 1.04
- E above lowest polymorph (meV per atom) = 199
- V (Å³/f.u.) = 73.6

a b c (Å): 5.9206 5.9206 5.9206
angles (deg): 151.38 131.85 56.98
With the nearest neighbours (Å) after each atom.
Atoms (fractional coordinates):
Mn1 0.0000 0.0000 0.0000  4 Al 2.65, 4 Tl 2.82, 2 Mn 2.93
Al1 0.2118 0.7118 0.5000  2 Mn 2.65, 6 Al 2.93
Al2 0.7882 0.2882 0.5000  2 Mn 2.65, 6 Al 2.93
Tl1 0.5000 0.5000 0.0000  4 Mn 2.82, 2 Tl 2.93

---

Record 7
Below is a relaxed MnAl2Tl crystal, with properties calculated at the PBE-GGA level.

## Properties
- E_form (eV/f.u.) = 1.59
- E above lowest polymorph (meV per atom) = 335
- V (Å³/f.u.) = 80.9

a b c (Å): 9.6667 9.6667 9.6667
angles (deg): 154.94 154.94 35.73
With the nearest neighbours (Å) after each atom.
Atoms (fractional coordinates):
Mn1 0.0000 0.0000 0.0000  4 Al 2.67, 4 Tl 2.97
Mn2 0.7500 0.2500 0.5000  4 Al 2.67, 4 Tl 2.97
Al1 0.0765 0.6250 0.9515  2 Mn 2.67, 2 Al 2.69, 2 Tl 2.82
Al2 0.3750 0.3265 0.4515  2 Mn 2.67, 2 Al 2.69, 2 Tl 2.82
Al3 0.6735 0.1250 0.0485  2 Mn 2.67, 2 Al 2.69, 2 Tl 2.82
Al4 0.8750 0.9235 0.5485  2 Mn 2.67, 2 Al 2.69, 2 Tl 2.82
Tl1 0.2500 0.7500 0.5000  4 Al 2.82, 4 Mn 2.97
Tl2 0.5000 0.5000 0.0000  4 Al 2.82, 4 Mn 2.97

---

Record 8
Below is a relaxed MnAl2Tl crystal, with properties calculated at the PBE-GGA level.

## Properties
- E_form (eV/f.u.) = 1.06
- E above lowest polymorph (meV per atom) = 203
- V (Å³/f.u.) = 69.8

a b c (Å): 5.1458 5.1458 5.1458
angles (deg): 133.78 133.78 67.43
With the nearest neighbours (Å) after each atom.
Atoms (fractional coordinates):
Mn1 0.0000 0.0000 0.0000  4 Tl 2.86, 8 Al 2.94
Al1 0.2500 0.7500 0.5000  4 Al 2.86, 4 Tl 2.94, 4 Mn 2.94
Al2 0.7500 0.2500 0.5000  4 Al 2.86, 4 Tl 2.94, 4 Mn 2.94
Tl1 0.5000 0.5000 0.0000  4 Mn 2.86, 8 Al 2.94

---

Which formula does entry 6 have?
MnAl2Tl